## Ca3Zn7Cu2 (PBE-GGA)

Data for Ca3Zn7Cu2 after structural relaxation.

extended XYZ file:
```
12
Lattice="5.438 0.000 0.000 2.719 4.709 0.000 2.719 1.570 8.655" Properties=species:S:1:pos:R:3 pbc="T T T"
Zn 5.438 3.140 4.327
Zn 4.068 3.931 6.596
Zn 5.438 4.722 2.059
Zn 4.068 2.348 2.059
Zn 5.438 1.557 6.596
Zn 6.808 2.348 2.059
Zn 6.808 3.931 6.596
Cu 5.438 3.140 0.018
Cu 5.438 3.140 8.637
Ca 0.000 0.000 0.000
Ca 8.157 4.709 3.718
Ca 2.719 1.570 4.937
```

Its total energy is -2.154 eV per atom. The calculation puts the mass density at 5.283 g/cm3. As for the symmetry: No. 166. The value obtained for the volume is 221.7 Å³ per cell.